[1]
# Re2AsAu | the Alexandria database | PBE-GGA | relaxed
# Energy relative to the elements: 746 meV per atom
data_Re2AsAu
_cell_length_a 5.4723
_cell_length_b 9.5719
_cell_length_c 2.8325
_cell_angle_alpha 90.00
_cell_angle_beta 118.34
_cell_angle_gamma 90.00
_space_group_name_H-M_alt 'C 1 2/m 1'
_space_group_IT_number 12
loop_
_space_group_symop_operation_xyz
'x,y,z'
'-x,-y,-z'
'-x,y,-z'
'x,-y,z'
'x+1/2,y+1/2,z'
'-x+1/2,-y+1/2,-z'
'-x+1/2,y+1/2,-z'
'x+1/2,-y+1/2,z'
loop_
_atom_site_label
_atom_site_type_symbol
_atom_site_fract_x
_atom_site_fract_y
_atom_site_fract_z
Re1 Re 0.2500 0.2500 0.0000
As1 As 0.0000 0.0000 0.5000
Au1 Au 0.0000 0.5000 0.5000

---

[2]
# Re2AsAu | the Alexandria database | PBE-GGA | relaxed
# Energy relative to the elements: 544 meV per atom
data_Re2AsAu
_cell_length_a 2.9919
_cell_length_b 4.0237
_cell_length_c 5.4674
_cell_angle_alpha 90.00
_cell_angle_beta 104.91
_cell_angle_gamma 90.00
_space_group_name_H-M_alt 'P 1 2/m 1'
_space_group_IT_number 10
loop_
_space_group_symop_operation_xyz
'x,y,z'
'-x,-y,-z'
'-x,y,-z'
'x,-y,z'
loop_
_atom_site_label
_atom_site_type_symbol
_atom_site_fract_x
_atom_site_fract_y
_atom_site_fract_z
Re1 Re 0.1315 0.0000 0.2698
As1 As 0.5000 0.5000 0.5000
Au1 Au 0.5000 0.5000 0.0000

---

[3]
# ReAsAu4 | the Alexandria database | PBE-GGA | relaxed
# Energy relative to the elements: 834 meV per atom
data_ReAsAu4
_cell_length_a 7.7433
_cell_length_b 7.7433
_cell_length_c 7.7433
_cell_angle_alpha 90.00
_cell_angle_beta 90.00
_cell_angle_gamma 90.00
_space_group_name_H-M_alt 'F -4 3 m'
_space_group_IT_number 216
_space_group_name_Hall 'F -4 2 3'
loop_
_atom_site_label
_atom_site_type_symbol
_atom_site_fract_x
_atom_site_fract_y
_atom_site_fract_z
Re1 Re 0.0000 0.0000 0.0000
As1 As 0.2500 0.2500 0.2500
Au1 Au 0.1252 0.1252 0.6252

---

[4]
# Re2AsAu | the Alexandria database | PBE-GGA | relaxed
# Energy relative to the elements: 238 meV per atom
data_Re2AsAu
_cell_length_a 2.8827
_cell_length_b 2.8827
_cell_length_c 8.3556
_cell_angle_alpha 90.00
_cell_angle_beta 90.00
_cell_angle_gamma 90.00
_space_group_name_H-M_alt 'P 4 m m'
_space_group_IT_number 99
loop_
_space_group_symop_operation_xyz
'x,y,z'
'-y,x,z'
'-x,-y,z'
'y,-x,z'
'-x,y,z'
'y,x,z'
'x,-y,z'
'-y,-x,z'
loop_
_atom_site_label
_atom_site_type_symbol
_atom_site_fract_x
_atom_site_fract_y
_atom_site_fract_z
Re1 Re 0.0000 0.0000 0.0000
Re2 Re 0.5000 0.5000 0.2027
As1 As 0.0000 0.0000 0.4166
Au1 Au 0.5000 0.5000 0.7497

---

[5]
# Re2AsAu | the Alexandria database | PBE-GGA | relaxed
# Energy relative to the elements: 756 meV per atom
data_Re2AsAu
_cell_length_a 6.3969
_cell_length_b 6.3969
_cell_length_c 6.3969
_cell_angle_alpha 90.00
_cell_angle_beta 90.00
_cell_angle_gamma 90.00
_space_group_name_H-M_alt 'F -4 3 m'
_space_group_IT_number 216
_space_group_name_Hall 'F -4 2 3'
loop_
_atom_site_label
_atom_site_type_symbol
_atom_site_fract_x
_atom_site_fract_y
_atom_site_fract_z
Re1 Re 0.0000 0.0000 0.0000
Re2 Re 0.2500 0.2500 0.2500
As1 As 0.0000 0.0000 0.5000
Au1 Au 0.2500 0.2500 0.7500

---

[6]
# Re2AsAu | the Alexandria database | PBE-GGA | relaxed
# Energy relative to the elements: 684 meV per atom
data_Re2AsAu
_cell_length_a 4.0201
_cell_length_b 4.0201
_cell_length_c 7.8534
_cell_angle_alpha 90.00
_cell_angle_beta 90.00
_cell_angle_gamma 90.00
_space_group_name_H-M_alt 'I -4 m 2'
_space_group_IT_number 119
_space_group_name_Hall 'I -4 -2'
loop_
_atom_site_label
_atom_site_type_symbol
_atom_site_fract_x
_atom_site_fract_y
_atom_site_fract_z
Re1 Re 0.0000 0.0000 0.0000
Re2 Re 0.0000 0.5000 0.2500
As1 As 0.0000 0.5000 0.7500
Au1 Au 0.0000 0.0000 0.5000

---

[7]
# Re2AsAu | the Alexandria database | PBE-GGA | relaxed
# Energy relative to the elements: 574 meV per atom
data_Re2AsAu
_cell_length_a 8.3476
_cell_length_b 2.9486
_cell_length_c 5.3609
_cell_angle_alpha 90.00
_cell_angle_beta 101.96
_cell_angle_gamma 90.00
_space_group_name_H-M_alt 'C 1 2/m 1'
_space_group_IT_number 12
loop_
_space_group_symop_operation_xyz
'x,y,z'
'-x,-y,-z'
'-x,y,-z'
'x,-y,z'
'x+1/2,y+1/2,z'
'-x+1/2,-y+1/2,-z'
'-x+1/2,y+1/2,-z'
'x+1/2,-y+1/2,z'
loop_
_atom_site_label
_atom_site_type_symbol
_atom_site_fract_x
_atom_site_fract_y
_atom_site_fract_z
Re1 Re 0.2422 0.0000 0.2146
As1 As 0.0000 0.5000 0.0000
Au1 Au 0.0000 0.0000 0.5000

---

[8]
# Re2AsAu | the Alexandria database | PBE-GGA | relaxed
# Energy relative to the elements: 633 meV per atom
data_Re2AsAu
_cell_length_a 4.4647
_cell_length_b 4.4647
_cell_length_c 3.1070
_cell_angle_alpha 90.00
_cell_angle_beta 90.00
_cell_angle_gamma 90.00
_space_group_name_H-M_alt 'P 4/m m m'
_space_group_IT_number 123
_space_group_name_Hall '-P 4 2'
loop_
_atom_site_label
_atom_site_type_symbol
_atom_site_fract_x
_atom_site_fract_y
_atom_site_fract_z
Re1 Re 0.0000 0.5000 0.0000
As1 As 0.0000 0.0000 0.5000
Au1 Au 0.5000 0.5000 0.5000